Record 1
This record from Alexandria describes a relaxed KRb4Au crystal. The functional is GGA-PBE.

Lattice parameters (Å, degrees): 21.873 9.489 8.147 90.00 105.55 90.00
Space group C2/m (No. 12)
Asymmetric unit:
K 0.196 0.000 0.180 (multiplicity 4)
Rb 0.000 0.256 0.000 (multiplicity 4)
Rb 0.108 0.254 0.614 (multiplicity 8)
Rb 0.178 0.500 0.214 (multiplicity 4)
Au 0.015 0.500 0.337 (multiplicity 4)

Results
theoretical density: 2357 kg/m³
energy relative to the lowest polymorph listed for this composition: 0 meV per atom
E: -1.4729 eV per atom

Record 2
This record from Alexandria describes a relaxed K2Rb2Au crystal. The functional is GGA-PBE.

Lattice parameters (Å, degrees): 9.478 15.158 9.313 90.00 116.45 90.00
Space group C2/m (No. 12)
Asymmetric unit:
K 0.228 0.000 0.360 (multiplicity 4)
K 0.246 0.000 0.876 (multiplicity 4)
Rb 0.044 0.272 0.766 (multiplicity 8)
Au 0.000 0.098 0.000 (multiplicity 4)

Results
theoretical density: 2473 kg/m³
energy relative to the lowest polymorph listed for this composition: 0 meV per atom
E: -1.6013 eV per atom

Record 3
This record from Alexandria describes a relaxed KRb12Au7 crystal. The functional is GGA-PBE.

Lattice parameters (Å, degrees): 21.7730 21.7730 7.1985 90.00 90.00 120.00
Space group R-3 (No. 148, hexagonal axes)
Asymmetric unit:
K 0.0000 0.0000 0.0000 (multiplicity 3)
Rb 0.0288 0.4414 0.6727 (multiplicity 18)
Rb 0.0465 0.8791 0.3256 (multiplicity 18)
Au 0.0000 0.0000 0.5000 (multiplicity 3)
Au 0.0522 0.8699 0.8294 (multiplicity 18)

Results
theoretical density: 4119 kg/m³
E: -1.9779 eV per atom

Record 4
This record from Alexandria describes a relaxed K2Rb7Au crystal. The functional is GGA-PBE.

Lattice parameters (Å, degrees): 16.678 20.450 4.859 90.00 90.00 90.00
Space group Cmmm (No. 65)
Asymmetric unit:
K 0.000 0.103 0.000 (multiplicity 4)
Rb 0.000 0.289 0.500 (multiplicity 4)
Rb 0.000 0.500 0.000 (multiplicity 2)
Rb 0.246 0.372 0.000 (multiplicity 8)
Au 0.000 0.000 0.500 (multiplicity 2)

Results
theoretical density: 1750 kg/m³
E: -1.2003 eV per atom

Record 5
This record from Alexandria describes a relaxed K3Rb2Au3 crystal. The functional is GGA-PBE.

Lattice parameters (Å, degrees): 4.161 5.556 30.325 90.00 90.00 90.00
Space group Immm (No. 71)
Asymmetric unit:
K 0.000 0.000 0.000 (multiplicity 2)
K 0.000 0.500 0.089 (multiplicity 4)
Rb 0.000 0.000 0.192 (multiplicity 4)
Au 0.000 0.000 0.500 (multiplicity 2)
Au 0.000 0.500 0.403 (multiplicity 4)

Results
theoretical density: 4164 kg/m³
energy relative to the lowest polymorph listed for this composition: 4 meV per atom
E: -2.1024 eV per atom

Record 6
This record from Alexandria describes a relaxed K8Rb6Au crystal. The functional is GGA-PBE.

Lattice parameters (Å, degrees): 12.7488 12.7488 23.6958 90.00 90.00 120.00
Space group R-3 (No. 148, hexagonal axes)
Asymmetric unit:
K 0.0000 0.0000 0.2450 (multiplicity 6)
K 0.0505 0.2318 0.9173 (multiplicity 18)
Rb 0.0418 0.2406 0.4148 (multiplicity 18)
Au 0.0000 0.0000 0.0000 (multiplicity 3)

Results
theoretical density: 1527 kg/m³
E: -1.2292 eV per atom

| no. | ΔE_f (eV/atom) |
| --- | --- |
| 1 | -0.099 |
| 2 | -0.120 |
| 3 | -0.195 |
| 4 | 0.024 |
| 5 | -0.220 |
| 6 | -0.038 |